[1]
## Dy3ErSc2As2Os (PBE)

Data for an optimized crystal structure of Dy3ErSc2As2Os.

```
data_Dy3ErSc2As2Os
_space_group_name_H-M_alt 'A m m 2'
_space_group_IT_number 38
_cell_length_a 4.1087
_cell_length_b 13.2419
_cell_length_c 7.6536
_cell_angle_alpha 90.00
_cell_angle_beta 90.00
_cell_angle_gamma 90.00
loop_
_space_group_symop_operation_xyz
'x,y,z'
'-x,-y,z'
'-x,y,z'
'x,-y,z'
'x,y+1/2,z+1/2'
'-x,-y+1/2,z+1/2'
'-x,y+1/2,z+1/2'
'x,-y+1/2,z+1/2'
loop_
_atom_site_label
_atom_site_fract_x
_atom_site_fract_y
_atom_site_fract_z
Dy1 0.0000 0.0000 0.0000
Dy2 0.0000 0.2056 0.3952
Er1 0.5000 0.0000 0.3614
Sc1 0.5000 0.1204 0.7183
As1 0.5000 0.1694 0.0948
Os1 0.0000 0.0000 0.6145
```

## Properties
Total energy: -6.549 eV/atom
M_tot: 0.004 μB/atom


[2]
## DyY3Er2As2Os (PBE)

Data for an optimized crystal structure of DyY3Er2As2Os.

```
data_DyY3Er2As2Os
_space_group_name_H-M_alt 'A m m 2'
_space_group_IT_number 38
_cell_length_a 4.1534
_cell_length_b 13.6540
_cell_length_c 7.8520
_cell_angle_alpha 90.00
_cell_angle_beta 90.00
_cell_angle_gamma 90.00
loop_
_space_group_symop_operation_xyz
'x,y,z'
'-x,-y,z'
'-x,y,z'
'x,-y,z'
'x,y+1/2,z+1/2'
'-x,-y+1/2,z+1/2'
'-x,y+1/2,z+1/2'
'x,-y+1/2,z+1/2'
loop_
_atom_site_label
_atom_site_fract_x
_atom_site_fract_y
_atom_site_fract_z
Dy1 0.0000 0.0000 0.0000
Y1 0.5000 0.0000 0.3519
Y2 0.5000 0.2034 0.9603
Er1 0.0000 0.1223 0.6346
As1 0.0000 0.1676 0.2574
Os1 0.5000 0.0000 0.7524
```

## Properties
Total energy: -6.725 eV/atom
M_tot: 0.008 μB/atom


[3]
## Dy2Y3ErAs2Os (PBE)

Data for an optimized crystal structure of Dy2Y3ErAs2Os.

```
data_Dy2Y3ErAs2Os
_space_group_name_H-M_alt 'A m m 2'
_space_group_IT_number 38
_cell_length_a 4.1505
_cell_length_b 13.6280
_cell_length_c 7.9045
_cell_angle_alpha 90.00
_cell_angle_beta 90.00
_cell_angle_gamma 90.00
loop_
_space_group_symop_operation_xyz
'x,y,z'
'-x,-y,z'
'-x,y,z'
'x,-y,z'
'x,y+1/2,z+1/2'
'-x,-y+1/2,z+1/2'
'-x,y+1/2,z+1/2'
'x,-y+1/2,z+1/2'
loop_
_atom_site_label
_atom_site_fract_x
_atom_site_fract_y
_atom_site_fract_z
Dy1 0.0000 0.1220 0.0000
Y1 0.5000 0.0000 0.2852
Y2 0.5000 0.2026 0.6752
Er1 0.0000 0.0000 0.6326
As1 0.0000 0.1657 0.3785
Os1 0.5000 0.0000 0.8734
```

## Properties
Total energy: -6.720 eV/atom
M_tot: 0.014 μB/atom


[4]
## DyErAs2Pt2 (PBE)

Data for an optimized crystal structure of DyErAs2Pt2.

```
data_DyErAs2Pt2
_space_group_name_H-M_alt 'P 63/m m c'
_space_group_IT_number 194
_space_group_name_Hall '-P 6c 2c'
_cell_length_a 4.2875
_cell_length_b 4.2875
_cell_length_c 15.1303
_cell_angle_alpha 90.00
_cell_angle_beta 90.00
_cell_angle_gamma 120.00
loop_
_atom_site_label
_atom_site_fract_x
_atom_site_fract_y
_atom_site_fract_z
Dy1 0.0000 0.0000 0.0000
Er1 0.0000 0.0000 0.2500
As1 0.3333 0.6667 0.1156
Pt1 0.3333 0.6667 0.6382
```

## Properties
Total energy: -6.323 eV/atom
M_tot: 0.001 μB/atom